# 1
# SmErSe, relaxed, DFT PBE
# * ΔE_f (raw): -948 meV per atom
# * DOS(E_F): 3.29 states/eV/f.u.
# * total energy: -31.2 eV for the cell shown
# * V: 162 Å³ per cell
# * relative energy among the computed polymorphs: 149 meV/atom
data_SmErSe
_cell_length_a 3.609
_cell_length_b 3.609
_cell_length_c 12.432
_cell_angle_alpha 90.00
_cell_angle_beta 90.00
_cell_angle_gamma 90.00
_symmetry_space_group_name_H-M 'I 4 m m'
_symmetry_Int_Tables_number 107
_symmetry_space_group_name_Hall 'I 4 -2'
loop_
_atom_site_label
_atom_site_fract_x
_atom_site_fract_y
_atom_site_fract_z
Sm1 0.000 0.000 0.000
Er1 0.000 0.000 0.289
Se1 0.000 0.000 0.652

# 2
# AcEuPb2, relaxed, DFT PBE
# * DOS(E_F): 7.50 states/eV/f.u.
# * total energy: -23.9 eV for the cell shown
# * V: 135 Å³ per cell
# * formation energy: -0.52 eV per atom
data_AcEuPb2
_cell_length_a 5.380
_cell_length_b 5.380
_cell_length_c 4.674
_cell_angle_alpha 90.00
_cell_angle_beta 90.00
_cell_angle_gamma 90.00
_symmetry_space_group_name_H-M 'P 4/m m m'
_symmetry_Int_Tables_number 123
_symmetry_space_group_name_Hall '-P 4 2'
loop_
_atom_site_label
_atom_site_fract_x
_atom_site_fract_y
_atom_site_fract_z
Ac1 0.000 0.000 0.000
Eu1 0.500 0.500 0.000
Pb1 0.000 0.500 0.500